5
Lattice="4.704 0.000 0.000 0.000 4.704 0.000 -2.352 -2.352 7.244" Properties=species:S:1:pos:R:3 comment="PmNdTeSe2 (PBE, optimized geometry)" final_energy_ev_per_atom=-5.33 dos_ef_per_ev_atom=0.004 pbc="T T T"
Te 2.352 2.352 0.003
Se 2.352 0.000 3.632
Nd 0.000 0.000 1.982
Se 0.000 2.352 3.632
Pm 2.352 2.352 5.239

***

12
Lattice="-2.136 -1.657 -3.219 -4.178 -5.011 5.351 -4.179 8.329 1.230" Properties=species:S:1:pos:R:3 comment="Pm3Nd2ThSe6 (PBE, optimized geometry)" final_energy_ev_per_atom=-6.12 dos_ef_per_ev_atom=0.558 pbc="T T T"
Se -3.140 -3.731 4.003
Nd -3.118 0.825 1.644
Th -1.068 -0.828 -1.610
Pm -5.236 -1.682 4.339
Se -5.230 2.916 1.969
Se -7.353 5.392 -0.642
Nd -7.375 0.836 1.718
Se -5.263 -1.255 1.393
Pm -3.157 -3.334 1.066
Pm -5.257 3.343 -0.977
Se -7.328 0.387 4.663
Se -3.165 1.274 -1.301